Entry 1:
Material: Nd3Be2SnPd9
Method: DFT, GGA-PBE
State: relaxed

Results
Total magnetization: 0.0 μB per cell
Energy of formation: -0.64 eV per atom
N(E_F): 0.441 states/eV/atom

CIF file:
```
data_Nd3Be2SnPd9
_chemical_formula_sum 'Nd3 Be2 Sn1 Pd9'
_symmetry_space_group_name_H-M 'P -3 m 1'
_symmetry_Int_Tables_number 164
_symmetry_space_group_name_Hall '-P 3 2"'
_cell_length_a 5.9777
_cell_length_b 5.9777
_cell_length_c 9.3443
_cell_angle_alpha 90.00
_cell_angle_beta 90.00
_cell_angle_gamma 120.00
loop_
_atom_site_label
_atom_site_fract_x
_atom_site_fract_y
_atom_site_fract_z
_atom_site_occupancy
Nd1 0.0000 0.0000 0.0000 1
Nd2 0.3333 0.6667 0.6736 1
Be1 0.3333 0.6667 0.1442 1
Sn1 0.0000 0.0000 0.5000 1
Pd1 0.0000 0.5000 0.0000 1
Pd2 0.1632 0.3265 0.2781 1
```

---

Entry 2:
Material: NdTmBe2Pd5
Method: DFT, GGA-PBE
State: relaxed

Results
Total magnetization: 0.0 μB per cell
Energy of formation: -0.69 eV per atom
N(E_F): 0.373 states/eV/atom

CIF file:
```
data_NdTmBe2Pd5
_chemical_formula_sum 'Nd1 Tm1 Be2 Pd5'
_symmetry_space_group_name_H-M 'P 4/m m m'
_symmetry_Int_Tables_number 123
_symmetry_space_group_name_Hall '-P 4 2'
_cell_length_a 4.075
_cell_length_b 4.075
_cell_length_c 9.020
_cell_angle_alpha 90.00
_cell_angle_beta 90.00
_cell_angle_gamma 90.00
loop_
_atom_site_label
_atom_site_fract_x
_atom_site_fract_y
_atom_site_fract_z
_atom_site_occupancy
Nd1 0.000 0.000 0.000 1
Tm1 0.000 0.000 0.500 1
Be1 0.500 0.500 0.371 1
Pd1 0.000 0.500 0.251 1
Pd2 0.500 0.500 0.000 1
```

---

Entry 3:
Material: Nd2TmBePd6
Method: DFT, GGA-PBE
State: relaxed

Results
Total magnetization: 0.0 μB per cell
Energy of formation: -0.62 eV per atom
N(E_F): 0.424 states/eV/atom

CIF file:
```
data_Nd2TmBePd6
_chemical_formula_sum 'Nd6 Tm3 Be3 Pd18'
_symmetry_space_group_name_H-M 'R -3 m'
_symmetry_Int_Tables_number 166
_symmetry_space_group_name_Hall '-R 3 2"'
_cell_length_a 5.8171
_cell_length_b 5.8171
_cell_length_c 22.7878
_cell_angle_alpha 90.00
_cell_angle_beta 90.00
_cell_angle_gamma 120.00
loop_
_atom_site_label
_atom_site_fract_x
_atom_site_fract_y
_atom_site_fract_z
_atom_site_occupancy
Nd1 0.0000 0.0000 0.2165 1
Tm1 0.0000 0.0000 0.0000 1
Be1 0.0000 0.0000 0.5000 1
Pd1 0.0022 0.5011 0.7667 1
```

---

Entry 4:
Material: Nd3Be2ZnPd9
Method: DFT, GGA-PBE
State: relaxed

Results
Total magnetization: 0.0 μB per cell
Energy of formation: -0.60 eV per atom
N(E_F): 0.377 states/eV/atom

CIF file:
```
data_Nd3Be2ZnPd9
_chemical_formula_sum 'Nd3 Be2 Zn1 Pd9'
_symmetry_space_group_name_H-M 'P -3 m 1'
_symmetry_Int_Tables_number 164
_symmetry_space_group_name_Hall '-P 3 2"'
_cell_length_a 6.6984
_cell_length_b 6.6984
_cell_length_c 7.0915
_cell_angle_alpha 90.00
_cell_angle_beta 90.00
_cell_angle_gamma 120.00
loop_
_atom_site_label
_atom_site_fract_x
_atom_site_fract_y
_atom_site_fract_z
_atom_site_occupancy
Nd1 0.0000 0.0000 0.0000 1
Nd2 0.3333 0.6667 0.6706 1
Be1 0.3333 0.6667 0.1411 1
Zn1 0.0000 0.0000 0.5000 1
Pd1 0.0000 0.5000 0.0000 1
Pd2 0.1834 0.3668 0.3285 1
```

---

Entry 5:
Material: NdBeZn2Pd4
Method: DFT, GGA-PBE
State: relaxed

Results
Total magnetization: 0.0 μB per cell
Energy of formation: -0.58 eV per atom
N(E_F): 0.540 states/eV/atom

CIF file:
```
data_NdBeZn2Pd4
_chemical_formula_sum 'Nd3 Be3 Zn6 Pd12'
_symmetry_space_group_name_H-M 'R -3 m'
_symmetry_Int_Tables_number 166
_symmetry_space_group_name_Hall '-R 3 2"'
_cell_length_a 4.3325
_cell_length_b 4.3325
_cell_length_c 24.4298
_cell_angle_alpha 90.00
_cell_angle_beta 90.00
_cell_angle_gamma 120.00
loop_
_atom_site_label
_atom_site_fract_x
_atom_site_fract_y
_atom_site_fract_z
_atom_site_occupancy
Nd1 0.0000 0.0000 0.0000 1
Be1 0.0000 0.0000 0.5000 1
Zn1 0.0000 0.0000 0.2410 1
Pd1 0.0000 0.0000 0.1342 1
Pd2 0.0000 0.0000 0.4062 1
```

---

Entry 6:
Material: Nd2BeZnPd6
Method: DFT, GGA-PBE
State: relaxed

Results
Total magnetization: 0.0 μB per cell
Energy of formation: -0.62 eV per atom
N(E_F): 0.402 states/eV/atom

CIF file:
```
data_Nd2BeZnPd6
_chemical_formula_sum 'Nd2 Be1 Zn1 Pd6'
_symmetry_space_group_name_H-M 'P -1'
_symmetry_Int_Tables_number 2
_symmetry_space_group_name_Hall '-P 1'
_cell_length_a 5.742
_cell_length_b 5.950
_cell_length_c 7.018
_cell_angle_alpha 68.99
_cell_angle_beta 65.93
_cell_angle_gamma 61.21
loop_
_atom_site_label
_atom_site_fract_x
_atom_site_fract_y
_atom_site_fract_z
_atom_site_occupancy
Nd1 0.222 0.246 0.313 1
Be1 0.000 0.000 0.000 1
Zn1 0.500 0.500 0.500 1
Pd1 0.243 0.662 0.848 1
Pd2 0.252 0.217 0.784 1
Pd3 0.259 0.784 0.212 1
```

---

Entry 7:
Material: PmNd2Be
Method: DFT, GGA-PBE
State: relaxed

Results
Total magnetization: 0.0 μB per cell
Energy of formation: 0.70 eV per atom
N(E_F): 1.298 states/eV/atom
Relative energy among the computed polymorphs: 0.581 eV per atom

CIF file:
```
data_PmNd2Be
_chemical_formula_sum 'Pm3 Nd6 Be3'
_symmetry_space_group_name_H-M 'R -3 m'
_symmetry_Int_Tables_number 166
_symmetry_space_group_name_Hall '-R 3 2"'
_cell_length_a 3.5287
_cell_length_b 3.5287
_cell_length_c 35.2750
_cell_angle_alpha 90.00
_cell_angle_beta 90.00
_cell_angle_gamma 120.00
loop_
_atom_site_label
_atom_site_fract_x
_atom_site_fract_y
_atom_site_fract_z
_atom_site_occupancy
Pm1 0.0000 0.0000 0.0000 1
Nd1 0.0000 0.0000 0.4164 1
Be1 0.0000 0.0000 0.5000 1
```

---

Entry 8:
Material: Pm2NdBe
Method: DFT, GGA-PBE
State: relaxed

Results
Total magnetization: 0.0 μB per cell
Energy of formation: 0.10 eV per atom
N(E_F): 1.091 states/eV/atom
Relative energy among the computed polymorphs: 0.000 eV per atom

CIF file:
```
data_Pm2NdBe
_chemical_formula_sum 'Pm2 Nd1 Be1'
_symmetry_space_group_name_H-M 'P 4/m m m'
_symmetry_Int_Tables_number 123
_symmetry_space_group_name_Hall '-P 4 2'
_cell_length_a 3.573
_cell_length_b 3.573
_cell_length_c 8.792
_cell_angle_alpha 90.00
_cell_angle_beta 90.00
_cell_angle_gamma 90.00
loop_
_atom_site_label
_atom_site_fract_x
_atom_site_fract_y
_atom_site_fract_z
_atom_site_occupancy
Pm1 0.000 0.000 0.191 1
Nd1 0.500 0.500 0.500 1
Be1 0.500 0.500 0.000 1
```

---

Which value of N(E_F) does entry 8 give? 1.091 states/eV/atom

---

total magnetization of number 3 (Nd2TmBePd6)? 0.0 μB per cell

---

What did the third record say?
Material: Nd2TmBePd6
Method: DFT, GGA-PBE
State: relaxed

Results
Total magnetization: 0.0 μB per cell
Energy of formation: -0.62 eV per atom
N(E_F): 0.424 states/eV/atom

CIF file:
```
data_Nd2TmBePd6
_chemical_formula_sum 'Nd6 Tm3 Be3 Pd18'
_symmetry_space_group_name_H-M 'R -3 m'
_symmetry_Int_Tables_number 166
_symmetry_space_group_name_Hall '-R 3 2"'
_cell_length_a 5.8171
_cell_length_b 5.8171
_cell_length_c 22.7878
_cell_angle_alpha 90.00
_cell_angle_beta 90.00
_cell_angle_gamma 120.00
loop_
_atom_site_label
_atom_site_fract_x
_atom_site_fract_y
_atom_site_fract_z
_atom_site_occupancy
Nd1 0.0000 0.0000 0.2165 1
Tm1 0.0000 0.0000 0.0000 1
Be1 0.0000 0.0000 0.5000 1
Pd1 0.0022 0.5011 0.7667 1
```

---

What is the N(E_F) in the seventh record? 1.298 states/eV/atom